1.
This record from Alexandria via LeMat-Bulk describes an optimized crystal structure of TaSe2Cl. The functional is PBE.

Values from the calculation:
Crystal system: trigonal
Symmetry: R-3m (166)
M_tot, μB per formula unit: 0.0

Cell and atoms, written as CIF:
```
data_TaSe2Cl
_chemical_formula_sum 'Ta1 Se2 Cl1'
_symmetry_space_group_name_H-M 'P 1'
_symmetry_Int_Tables_number 1
_cell_length_a 8.680
_cell_length_b 8.680
_cell_length_c 8.680
_cell_angle_alpha 23.66
_cell_angle_beta 23.66
_cell_angle_gamma 23.66
loop_
_symmetry_equiv_pos_as_xyz
'x,y,z'
loop_
_atom_site_label
_atom_site_fract_x
_atom_site_fract_y
_atom_site_fract_z
_atom_site_occupancy
Ta1 0.000 0.000 0.000 1
Se1 0.397 0.397 0.397 1
Se2 0.603 0.603 0.603 1
Cl1 0.500 0.500 0.500 1
```



2.
This record from Alexandria via LeMat-Bulk describes an optimized crystal structure of TaSe2Cl. The functional is PBE.

Values from the calculation:
Crystal system: monoclinic
Symmetry: Pm (6)
M_tot, μB per formula unit: 0.0

Cell and atoms, written as CIF:
```
data_TaSe2Cl
_chemical_formula_sum 'Ta1 Se2 Cl1'
_symmetry_space_group_name_H-M 'P 1'
_symmetry_Int_Tables_number 1
_cell_length_a 5.506
_cell_length_b 3.516
_cell_length_c 7.142
_cell_angle_alpha 90.00
_cell_angle_beta 112.48
_cell_angle_gamma 90.00
loop_
_symmetry_equiv_pos_as_xyz
'x,y,z'
loop_
_atom_site_label
_atom_site_fract_x
_atom_site_fract_y
_atom_site_fract_z
_atom_site_occupancy
Ta1 0.000 0.000 0.000 1
Se1 0.600 0.000 0.035 1
Se2 0.961 0.500 0.740 1
Cl1 0.227 0.500 0.267 1
```



The structure with the greatest stability is 2.



1.
This record from Alexandria via LeMat-Bulk describes an optimized crystal structure of TaSe2Cl. The functional is PBE.

Values from the calculation:
Crystal system: monoclinic
Symmetry: C2/m (12)
M_tot, μB per formula unit: 0.0

Cell and atoms, written as CIF:
```
data_TaSe2Cl
_chemical_formula_sum 'Ta1 Se2 Cl1'
_symmetry_space_group_name_H-M 'P 1'
_symmetry_Int_Tables_number 1
_cell_length_a 3.521
_cell_length_b 3.521
_cell_length_c 8.115
_cell_angle_alpha 92.71
_cell_angle_beta 92.71
_cell_angle_gamma 59.78
loop_
_symmetry_equiv_pos_as_xyz
'x,y,z'
loop_
_atom_site_label
_atom_site_fract_x
_atom_site_fract_y
_atom_site_fract_z
_atom_site_occupancy
Ta1 0.000 0.000 0.000 1
Se1 0.321 0.321 0.796 1
Se2 0.679 0.679 0.204 1
Cl1 0.500 0.500 0.500 1
```



2.
This record from Alexandria via LeMat-Bulk describes an optimized crystal structure of TaSe2Cl. The functional is PBE.

Values from the calculation:
Crystal system: orthorhombic
Symmetry: Imm2 (44)
M_tot, μB per formula unit: 0.0

Cell and atoms, written as CIF:
```
data_TaSe2Cl
_chemical_formula_sum 'Ta1 Se2 Cl1'
_symmetry_space_group_name_H-M 'P 1'
_symmetry_Int_Tables_number 1
_cell_length_a 7.673
_cell_length_b 7.673
_cell_length_c 7.673
_cell_angle_alpha 155.65
_cell_angle_beta 144.83
_cell_angle_gamma 43.24
loop_
_symmetry_equiv_pos_as_xyz
'x,y,z'
loop_
_atom_site_label
_atom_site_fract_x
_atom_site_fract_y
_atom_site_fract_z
_atom_site_occupancy
Ta1 0.000 0.000 0.000 1
Se1 0.141 0.641 0.500 1
Se2 0.522 0.522 0.000 1
Cl1 0.860 0.360 0.500 1
```



3.
This record from Alexandria via LeMat-Bulk describes an optimized crystal structure of TaSe2Cl. The functional is PBE.

Values from the calculation:
Crystal system: orthorhombic
Symmetry: Pmmm (47)
M_tot, μB per formula unit: 0.0

Cell and atoms, written as CIF:
```
data_TaSe2Cl
_chemical_formula_sum 'Ta1 Se2 Cl1'
_symmetry_space_group_name_H-M 'P 1'
_symmetry_Int_Tables_number 1
_cell_length_a 3.249
_cell_length_b 4.484
_cell_length_c 5.053
_cell_angle_alpha 90.00
_cell_angle_beta 90.00
_cell_angle_gamma 90.00
loop_
_symmetry_equiv_pos_as_xyz
'x,y,z'
loop_
_atom_site_label
_atom_site_fract_x
_atom_site_fract_y
_atom_site_fract_z
_atom_site_occupancy
Ta1 0.000 0.000 0.000 1
Se1 0.000 0.500 0.500 1
Se2 0.500 0.000 0.500 1
Cl1 0.500 0.500 0.000 1
```



The structure with the greatest stability is 1.



1.
This record from Alexandria via LeMat-Bulk describes an optimized crystal structure of Ta2SeCl. The functional is PBE.

Values from the calculation:
Crystal system: orthorhombic
Symmetry: Immm (71)
M_tot, μB per formula unit: 0.0

Cell and atoms, written as CIF:
```
data_Ta2SeCl
_chemical_formula_sum 'Ta2 Se1 Cl1'
_symmetry_space_group_name_H-M 'P 1'
_symmetry_Int_Tables_number 1
_cell_length_a 5.395
_cell_length_b 5.395
_cell_length_c 5.395
_cell_angle_alpha 147.87
_cell_angle_beta 115.17
_cell_angle_gamma 74.20
loop_
_symmetry_equiv_pos_as_xyz
'x,y,z'
loop_
_atom_site_label
_atom_site_fract_x
_atom_site_fract_y
_atom_site_fract_z
_atom_site_occupancy
Ta1 0.249 0.249 0.000 1
Ta2 0.751 0.751 0.000 1
Se1 0.000 0.500 0.500 1
Cl1 0.500 0.000 0.500 1
```



2.
This record from Alexandria via LeMat-Bulk describes an optimized crystal structure of Ta2SeCl. The functional is PBE.

Values from the calculation:
Crystal system: orthorhombic
Symmetry: Cmm2 (35)
M_tot, μB per formula unit: 0.0

Cell and atoms, written as CIF:
```
data_Ta2SeCl
_chemical_formula_sum 'Ta2 Se1 Cl1'
_symmetry_space_group_name_H-M 'P 1'
_symmetry_Int_Tables_number 1
_cell_length_a 3.032
_cell_length_b 3.032
_cell_length_c 9.833
_cell_angle_alpha 90.00
_cell_angle_beta 90.00
_cell_angle_gamma 106.42
loop_
_symmetry_equiv_pos_as_xyz
'x,y,z'
loop_
_atom_site_label
_atom_site_fract_x
_atom_site_fract_y
_atom_site_fract_z
_atom_site_occupancy
Ta1 0.000 0.000 0.000 1
Ta2 0.500 0.500 0.222 1
Se1 0.000 0.000 0.413 1
Cl1 0.500 0.500 0.812 1
```



3.
This record from Alexandria via LeMat-Bulk describes an optimized crystal structure of Ta2SeCl. The functional is PBE.

Values from the calculation:
Crystal system: trigonal
Symmetry: R3m (160)
M_tot, μB per formula unit: 0.0

Cell and atoms, written as CIF:
```
data_Ta2SeCl
_chemical_formula_sum 'Ta2 Se1 Cl1'
_symmetry_space_group_name_H-M 'P 1'
_symmetry_Int_Tables_number 1
_cell_length_a 9.616
_cell_length_b 9.616
_cell_length_c 9.616
_cell_angle_alpha 19.62
_cell_angle_beta 19.62
_cell_angle_gamma 19.62
loop_
_symmetry_equiv_pos_as_xyz
'x,y,z'
loop_
_atom_site_label
_atom_site_fract_x
_atom_site_fract_y
_atom_site_fract_z
_atom_site_occupancy
Ta1 0.000 0.000 0.000 1
Ta2 0.255 0.255 0.255 1
Se1 0.526 0.526 0.526 1
Cl1 0.726 0.726 0.726 1
```



The structure with the greatest stability is 3.